Entry 1:
Below is SrNiPt at its PBEsol-relaxed geometry, with properties calculated at the meta-GGA SCAN level.

abc: 4.564 4.564 4.564
angles: 60.00 60.00 60.00
Atoms (fractional coordinates):
Sr (0.000, 0.000, 0.000)
Ni (0.500, 0.500, 0.500)
Pt (0.750, 0.750, 0.750)

Calculated values
The value obtained for the energy relative to the elements is 0.4 eV per formula unit. The space-group type is F-43m. The calculation puts the volume at 67 Å³/cell. The calculation puts the total energy at -36.08 eV per atom. The density of states at the Fermi level is 7.40 states/eV/cell.

=====

Entry 2:
Below is SrNi2Pt at its PBEsol-relaxed geometry, with properties calculated at the meta-GGA SCAN level.

abc: 5.550 5.550 5.550
angles: 44.38 44.38 44.38
Atoms (fractional coordinates):
Sr (0.000, 0.000, 0.000)
Ni (0.186, 0.186, 0.186)
Ni (0.814, 0.814, 0.814)
Pt (0.500, 0.500, 0.500)

Calculated values
The value obtained for the energy relative to the elements is -1.5 eV per formula unit. The space-group type is R-3m. The calculation puts the volume at 76 Å³/cell. The calculation puts the total energy at -31.59 eV per atom. The density of states at the Fermi level is 1.95 states/eV/cell.

=====

Entry 3:
Below is Sr2NiPt at its PBEsol-relaxed geometry, with properties calculated at the meta-GGA SCAN level.

abc: 5.847 5.847 5.847
angles: 137.41 137.41 61.80
Atoms (fractional coordinates):
Sr (0.000, 0.000, 0.000)
Sr (0.750, 0.250, 0.500)
Ni (0.500, 0.500, 0.000)
Pt (0.250, 0.750, 0.500)

Calculated values
The value obtained for the energy relative to the elements is -0.4 eV per formula unit. The space-group type is I-4m2. The calculation puts the volume at 90 Å³/cell. The calculation puts the total energy at -32.83 eV per atom. The density of states at the Fermi level is 1.16 states/eV/cell.

=====

The lowest energy relative to the elements belongs to which entry? SrNi2Pt